Below is an optimized crystal structure of PmVRh2, with properties calculated at the GGA-PBE level.

Lattice parameters (Å, degrees): 6.5989 6.5989 6.5989 90.00 90.00 90.00
Last column: nearest neighbours and their distance in Å.
Space group Fm-3m (No. 225)
Inequivalent atoms, fractional coordinates:
Pm 0.0000 0.0000 0.0000 [4 per cell]  8 Rh 2.86
V 0.0000 0.0000 0.5000 [4 per cell]  8 Rh 2.86
Rh 0.2500 0.2500 0.2500 [8 per cell]  4 Pm 2.86, 4 V 2.86

Calculated values
Raw total energy in eV/atom: -7.37
N(E_F) in states/eV per cell: 22.34